First-principles (GGA-PBEsol) data for a relaxed structure of La2TcTe, as listed in the Alexandria database.

Cell: 4.590 5.584 8.126 Å, 90.00 90.00 90.00°
Space group Cmmm (No. 65)
Asymmetric unit:
La 0.000 0.000 0.216
Tc 0.000 0.500 0.000
Te 0.000 0.500 0.500

Properties
- offset from the most stable computed form (meV/atom) = 0
- V (Å³ per atom) = 26.034
- spin magnetization (μB per formula unit) = 0.000
- uncorrected energy (eV/f.u.) = -27.1
- formation energy without anion corrections (meV per atom) = -414